No. 1
VASP calculation (GGA-PBE) on a relaxed TaBe3Te crystal.

Unit cell a=4.5573 b=4.5573 c=4.5573 alpha=90.00 beta=90.00 gamma=90.00
With the nearest neighbours (Å) after each atom.
Fractional coordinates of all 5 atoms:
Be: 0.5000 0.0000 0.0000  2 Ta 2.28
Be: 0.0000 0.5000 0.0000  2 Ta 2.28
Be: 0.0000 0.0000 0.5000  2 Ta 2.28
Te: 0.5000 0.5000 0.5000  12 Be 3.22
Ta: 0.0000 0.0000 0.0000  6 Be 2.28

Output
Symmetry: No. 221
E (eV per atom): -3.766
Formation energy (no corrections) (eV/atom): 1.47
Relative energy among the computed polymorphs (kJ/mol of atoms): 0.0

***

No. 2
VASP calculation (GGA-PBE) on a relaxed Dy2YI crystal.

Unit cell a=3.7687 b=3.7687 c=10.6400 alpha=79.80 beta=79.80 gamma=60.00
With the nearest neighbours (Å) after each atom.
Fractional coordinates of all 4 atoms:
Dy: 0.0792 0.0792 0.7625  3 I 3.29, 3 Y 3.49
Dy: 0.2544 0.2544 0.2367  3 I 3.29, 3 Y 3.51
Y: 0.4997 0.4997 0.5009  6 Dy 3.49-3.51, 6 Y 3.77
I: 0.6667 0.6667 0.9999  6 Dy 3.29

Output
Symmetry: No. 160
E (eV per atom): -4.652
Formation energy (no corrections) (eV/atom): -0.35
Relative energy among the computed polymorphs (kJ/mol of atoms): 0.0

***

Repeat the second record exactly.
VASP calculation (GGA-PBE) on a relaxed Dy2YI crystal.

Unit cell a=3.7687 b=3.7687 c=10.6400 alpha=79.80 beta=79.80 gamma=60.00
With the nearest neighbours (Å) after each atom.
Fractional coordinates of all 4 atoms:
Dy: 0.0792 0.0792 0.7625  3 I 3.29, 3 Y 3.49
Dy: 0.2544 0.2544 0.2367  3 I 3.29, 3 Y 3.51
Y: 0.4997 0.4997 0.5009  6 Dy 3.49-3.51, 6 Y 3.77
I: 0.6667 0.6667 0.9999  6 Dy 3.29

Output
Symmetry: No. 160
E (eV per atom): -4.652
Formation energy (no corrections) (eV/atom): -0.35
Relative energy among the computed polymorphs (kJ/mol of atoms): 0.0